A plane-wave DFT calculation with PBE was carried out for crystalline AcTl2Ag2 at its relaxed geometry.

As for the total energy: -3.067 eV per atom. For the mass density, the calculation gives 10.5 g/cm3.

Cell lengths 9.590, 5.414, 5.478 Å; angles 90.00, 108.94, 90.00 degrees
Atoms (fractional coordinates):
1 Ac 0.000 0.000 0.000
2 Ac 0.500 0.500 0.000
3 Tl 0.239 0.500 0.312
4 Tl 0.261 0.000 0.688
5 Tl 0.739 0.000 0.312
6 Tl 0.761 0.500 0.688
7 Ag 0.109 0.500 0.741
8 Ag 0.391 0.000 0.259
9 Ag 0.609 0.000 0.741
10 Ag 0.891 0.500 0.259